Record 1
A geometry-optimized SrFeRu structure. Source: the Alexandria database, functional PBE.

- Energy of formation: 8.25 kcal/mol of atoms

```
6
Lattice="-5.290 1.362 0.261 -2.471 0.133 4.874 0.788 4.972 -5.814" Properties=species:S:1:pos:R:3 pbc="T T T"
Ru -5.191 2.103 0.511
Sr -5.214 1.219 3.621
Sr -2.350 1.753 2.015
Ru -3.388 3.973 -0.089
Fe -6.036 4.655 0.041
Fe -2.153 3.906 -2.526
```

---

Record 2
A geometry-optimized Ho5Tl4Sn structure. Source: the Alexandria database, functional PBE.

- Energy of formation: -8.77 kcal/mol of atoms

```
10
Lattice="3.612 0.000 0.000 0.000 3.612 0.000 0.000 0.000 20.545" Properties=species:S:1:pos:R:3 pbc="T T T"
Tl 0.000 0.000 8.221
Tl 0.000 0.000 16.422
Ho 1.806 1.806 14.390
Ho 1.806 1.806 10.273
Ho 1.806 1.806 2.009
Ho 1.806 1.806 6.155
Sn 0.000 0.000 0.000
Tl 0.000 0.000 12.324
Ho 1.806 1.806 18.536
Tl 0.000 0.000 4.123
```

---

Record 3
A geometry-optimized Ta2AlSi structure. Source: the Alexandria database, functional PBE.

- Energy relative to the elements, uncorrected: -0.86 eV per formula unit

```
4
Lattice="-0.793 -2.373 2.367 3.298 -0.118 0.987 -0.971 4.045 3.730" Properties=species:S:1:pos:R:3 pbc="T T T"
Al -0.490 2.041 1.882
Ta -0.969 4.036 3.721
Si 0.525 1.784 4.470
Ta 1.011 -0.241 2.603
```

---

Summary of D(E_F) in states/eV/f.u.
3.38, 6.80, 2.71
(order as listed above)
Summary of magnetization in μB/cell
5.93, 0.00, 0.00
(order as listed above)